Record 1
Density functional theory data (PBE-GGA) for Ac2Sn4GePd3 after structural relaxation.

The crystal system is tetragonal. As for the space-group type: P-4m2 (115). The calculated total energy comes out at -5.1542 eV/atom. The value obtained for the total magnetization is 0.000 μB per cell. As for the formation enthalpy at 0 K: -687 kJ/mol of formula units.

extended XYZ file:
```
10
Lattice="4.759 0.000 0.000 0.000 4.759 0.000 0.000 0.000 10.816" Properties=species:S:1:pos:R:3 pbc="T T T"
Ac 0.000 2.379 2.659
Ac 2.379 0.000 8.157
Sn 0.000 0.000 5.408
Sn 0.000 2.379 9.407
Sn 2.379 0.000 1.409
Sn 2.379 2.379 5.408
Ge 2.379 2.379 0.000
Pd 0.000 0.000 0.000
Pd 0.000 2.379 6.777
Pd 2.379 0.000 4.040
```

---

Record 2
Density functional theory data (PBE-GGA) for Pu2SO2 after structural relaxation.

The crystal system is monoclinic. The calculation puts the formation energy (no corrections) at -2.600 eV/atom. As for the space-group type: C2/c (15). The calculated total energy comes out at -11.1419 eV/atom. The value obtained for the total magnetization is 20.000 μB per cell.

extended XYZ file:
```
10
Lattice="4.749 -3.857 0.000 4.749 3.857 0.000 -4.599 0.000 4.893" Properties=species:S:1:pos:R:3 pbc="T T T"
Pu 0.816 1.042 1.126
Pu -1.483 -1.042 3.573
Pu 6.383 1.042 1.320
Pu 4.083 -1.042 3.766
S 3.599 0.992 1.223
S 1.300 -0.992 3.669
O -1.080 0.955 2.549
O 1.219 -0.955 0.103
O 3.680 0.955 4.790
O 5.980 -0.955 2.344
```

---

Record 3
Density functional theory data (PBE-GGA) for CsTl2P after structural relaxation.

The crystal system is trigonal. The value obtained for the offset from the most stable computed form is 0.000 eV per atom. As for the space-group type: R-3m (166). The calculated total energy comes out at -2.8158 eV/atom. The value obtained for the total magnetization is 0.000 μB per cell. As for the formation enthalpy at 0 K: -26 kJ/mol of formula units.

extended XYZ file:
```
4
Lattice="2.267 1.309 8.214 -2.267 1.309 8.214 0.000 -2.618 8.214" Properties=species:S:1:pos:R:3 pbc="T T T"
Cs 0.000 0.000 0.000
Tl 0.000 0.000 5.435
Tl 0.000 0.000 19.207
P 0.000 0.000 12.321
```